1.
Here is a relaxed structure of RbSnAu3Se4 from OQMD via LeMat-Bulk. Energies are from PBE.

E above lowest polymorph: 164.7 meV per atom
ρ: 6.31 g/cm³

Geometry as CIF:
```
data_RbSnAu3Se4
_symmetry_space_group_name_H-M 'P -4 3 m'
_symmetry_Int_Tables_number 215
_symmetry_space_group_name_Hall 'P -4 2 3'
_cell_length_a 6.637
_cell_length_b 6.637
_cell_length_c 6.637
_cell_angle_alpha 90.00
_cell_angle_beta 90.00
_cell_angle_gamma 90.00
loop_
_atom_site_label
_atom_site_fract_x
_atom_site_fract_y
_atom_site_fract_z
_atom_site_occupancy
Rb1 0.000 0.000 0.000 1
Sn1 0.500 0.500 0.500 1
Au1 0.000 0.500 0.500 1
Se1 0.279 0.279 0.279 1
```

2.
Here is a relaxed structure of RbSnTeAuSe2 from OQMD via LeMat-Bulk. Energies are from PBE.

E_tot: -3.489 eV/atom
ρ: 5.83 g/cm³

Geometry as CIF:
```
data_RbSnTeAuSe2
_symmetry_space_group_name_H-M 'C m c m'
_symmetry_Int_Tables_number 63
_symmetry_space_group_name_Hall '-C 2c 2'
_cell_length_a 4.004
_cell_length_b 17.425
_cell_length_c 11.218
_cell_angle_alpha 90.00
_cell_angle_beta 90.00
_cell_angle_gamma 90.00
loop_
_atom_site_label
_atom_site_fract_x
_atom_site_fract_y
_atom_site_fract_z
_atom_site_occupancy
Rb1 0.000 0.232 0.250 1
Sn1 0.000 0.500 0.000 1
Te1 0.000 0.445 0.750 1
Au1 0.000 0.109 0.750 1
Se1 0.000 0.113 0.532 1
```

3.
Here is a relaxed structure of RbSnTe2AuSe from OQMD via LeMat-Bulk. Energies are from PBE.

E_tot: -3.385 eV/atom
ρ: 6.54 g/cm³

Geometry as CIF:
```
data_RbSnTe2AuSe
_symmetry_space_group_name_H-M 'C m c m'
_symmetry_Int_Tables_number 63
_symmetry_space_group_name_Hall '-C 2c 2'
_cell_length_a 4.581
_cell_length_b 13.475
_cell_length_c 12.089
_cell_angle_alpha 90.00
_cell_angle_beta 90.00
_cell_angle_gamma 90.00
loop_
_atom_site_label
_atom_site_fract_x
_atom_site_fract_y
_atom_site_fract_z
_atom_site_occupancy
Rb1 0.000 0.213 0.250 1
Sn1 0.000 0.500 0.000 1
Te1 0.000 0.153 0.536 1
Au1 0.000 0.080 0.750 1
Se1 0.000 0.487 0.750 1
```

4.
Here is a relaxed structure of RbTbAuSe3 from OQMD via LeMat-Bulk. Energies are from PBE.

E_tot: -4.335 eV/atom
ρ: 6.55 g/cm³
magnetic moment: 0.4 μB per cell

Geometry as CIF:
```
data_RbTbAuSe3
_symmetry_space_group_name_H-M 'C m c m'
_symmetry_Int_Tables_number 63
_symmetry_space_group_name_Hall '-C 2c 2'
_cell_length_a 4.095
_cell_length_b 15.691
_cell_length_c 10.710
_cell_angle_alpha 90.00
_cell_angle_beta 90.00
_cell_angle_gamma 90.00
loop_
_atom_site_label
_atom_site_fract_x
_atom_site_fract_y
_atom_site_fract_z
_atom_site_occupancy
Rb1 0.000 0.248 0.250 1
Tb1 0.000 0.000 0.000 1
Au1 0.000 0.465 0.750 1
Se1 0.000 0.073 0.750 1
Se2 0.000 0.373 0.549 1
```

5.
Here is a relaxed structure of RbTbAu3Se4 from OQMD via LeMat-Bulk. Energies are from PBE.

E above lowest polymorph: 118.7 meV per atom
ρ: 6.75 g/cm³
magnetic moment: 0.0 μB per cell

Geometry as CIF:
```
data_RbTbAu3Se4
_symmetry_space_group_name_H-M 'P -4 3 m'
_symmetry_Int_Tables_number 215
_symmetry_space_group_name_Hall 'P -4 2 3'
_cell_length_a 6.568
_cell_length_b 6.568
_cell_length_c 6.568
_cell_angle_alpha 90.00
_cell_angle_beta 90.00
_cell_angle_gamma 90.00
loop_
_atom_site_label
_atom_site_fract_x
_atom_site_fract_y
_atom_site_fract_z
_atom_site_occupancy
Rb1 0.000 0.000 0.000 1
Tb1 0.500 0.500 0.500 1
Au1 0.000 0.500 0.500 1
Se1 0.268 0.268 0.268 1
```

6.
Here is a relaxed structure of RbTbAu3Se4 from OQMD via LeMat-Bulk. Energies are from PBE.

E above lowest polymorph: 0.0 meV per atom
ρ: 7.88 g/cm³
magnetic moment: 0.0 μB per cell

Geometry as CIF:
```
data_RbTbAu3Se4
_symmetry_space_group_name_H-M 'P 1 21/m 1'
_symmetry_Int_Tables_number 11
_symmetry_space_group_name_Hall '-P 2yb'
_cell_length_a 6.018
_cell_length_b 7.645
_cell_length_c 10.915
_cell_angle_alpha 90.00
_cell_angle_beta 105.09
_cell_angle_gamma 90.00
loop_
_atom_site_label
_atom_site_fract_x
_atom_site_fract_y
_atom_site_fract_z
_atom_site_occupancy
Rb1 0.234 0.250 0.392 1
Tb1 0.109 0.250 0.810 1
Au1 0.304 0.562 0.043 1
Au2 0.440 0.750 0.299 1
Se1 0.055 0.250 0.065 1
Se2 0.167 0.750 0.435 1
Se3 0.367 0.530 0.767 1
```

Which value of ρ does entry 2 give?
5.83 g/cm³

What did the third record say?
Here is a relaxed structure of RbSnTe2AuSe from OQMD via LeMat-Bulk. Energies are from PBE.

E_tot: -3.385 eV/atom
ρ: 6.54 g/cm³

Geometry as CIF:
```
data_RbSnTe2AuSe
_symmetry_space_group_name_H-M 'C m c m'
_symmetry_Int_Tables_number 63
_symmetry_space_group_name_Hall '-C 2c 2'
_cell_length_a 4.581
_cell_length_b 13.475
_cell_length_c 12.089
_cell_angle_alpha 90.00
_cell_angle_beta 90.00
_cell_angle_gamma 90.00
loop_
_atom_site_label
_atom_site_fract_x
_atom_site_fract_y
_atom_site_fract_z
_atom_site_occupancy
Rb1 0.000 0.213 0.250 1
Sn1 0.000 0.500 0.000 1
Te1 0.000 0.153 0.536 1
Au1 0.000 0.080 0.750 1
Se1 0.000 0.487 0.750 1
```